# AcSmHgBi | Alexandria | PBE | relaxed
data_AcSmHgBi
_cell_length_a 5.651
_cell_length_b 5.651
_cell_length_c 5.651
_cell_angle_alpha 60.00
_cell_angle_beta 60.00
_cell_angle_gamma 60.00
_symmetry_space_group_name_H-M 'P 1'
_symmetry_Int_Tables_number 1
_symmetry_space_group_name_Hall 'P 1'
loop_
_atom_site_label
_atom_site_fract_x
_atom_site_fract_y
_atom_site_fract_z
Ac1 0.000 0.000 0.000
Bi1 0.250 0.250 0.250
Sm1 0.500 0.500 0.500
Hg1 0.750 0.750 0.750
# SG: F-43m (216)
# DFT formation energy (eV per atom): -0.54
# Final energy (eV per atom): -3.7923